A geometry-optimized ThHRu3 structure, computed with PBE.

The space group is Pm-3m (No. 221) and the conventional cell measures 4.1497, 4.1497 and 4.1497 Å, with angles of 90.00, 90.00 and 90.00 degrees. Symmetry generates all atoms from Th at (0.0000, 0.0000, 0.0000), H at (0.5000, 0.5000, 0.5000) and Ru at (0.0000, 0.5000, 0.5000).

Its density of states at the Fermi level is 3.64 states/eV/cell. The total energy is -39.294 eV per formula unit. For the size of the total moment, the calculation gives 0.000 μB/atom.